The following is a PBE-GGA calculation of an optimized crystal structure of TiTeS, from the Alexandria database.

## Properties
Space group: P3m1
DOS at the Fermi energy in states/eV per cell: 1.13
Offset from the most stable computed form in meV/atom: 0
Volume in Å³ per cell: 76
E_form (uncorrected) in eV per atom: -1.017

Structure (POSCAR):
```
TiTeS
1.0
3.5856 0.0000 0.0000
-1.7928 3.1052 0.0000
0.0000 0.0000 6.8253
Ti Te S
1 1 1
Cartesian
0.0000 0.0000 0.0000 Ti
0.0000 2.0701 4.9262 Te
1.7928 1.0351 1.2305 S
```